# 1
SmThCoCu | the Alexandria database | PBE-GGA | optimized geometry; DFT formation energy = -0.09 eV per atom; space group = F-43m (216)
1.0
4.950 0.000 0.000
2.475 4.286 0.000
2.475 1.429 4.041
Th Co Sm Cu
1 1 1 1
direct
0.000 0.000 0.000
0.750 0.750 0.750
0.500 0.500 0.500
0.250 0.250 0.250



# 2
SmThCoCu | the Alexandria database | PBE-GGA | optimized geometry; DFT formation energy = -0.24 eV per atom; space group = Amm2 (38)
1.0
-0.735 -3.019 2.241
-1.653 -1.816 -2.988
5.626 -0.861 -2.589
Co Th Cu Sm
1 1 1 1
direct
0.407 0.000 0.814
0.876 0.500 0.752
0.566 0.500 0.133
0.151 0.000 0.302